1.
First-principles (PBE) data for a geometry-optimized V9GaSiGe structure, as listed in Alexandria via LeMat-Bulk.

Output
- uncorrected formation energy (eV/atom) = -0.32
- magnetization (Bohr magnetons per cell) = 0.0

Cell and atoms, written as extended XYZ:
```
24
Lattice="4.739 0.000 0.000 0.000 4.751 0.000 0.000 0.000 14.255" Properties=species:S:1:pos:R:3 pbc="T T T"
V 0.000 0.000 0.000
V 0.000 0.000 2.313
V 0.000 0.000 4.705
V 0.000 0.000 7.104
V 0.000 0.000 9.526
V 0.000 0.000 11.880
V 1.156 2.375 3.493
V 1.167 2.375 8.298
V 1.210 2.375 13.094
V 2.370 1.172 10.740
V 2.370 1.185 5.925
V 2.370 1.213 1.110
V 2.370 3.538 1.110
V 2.370 3.566 5.925
V 2.370 3.578 10.740
V 3.530 2.375 13.094
V 3.573 2.375 8.298
V 3.583 2.375 3.493
Ga 2.370 0.000 3.520
Ga 2.370 0.000 8.323
Si 0.000 2.375 1.158
Si 2.370 0.000 13.057
Ge 0.000 2.375 5.902
Ge 0.000 2.375 10.700
```


2.
First-principles (PBE) data for a geometry-optimized Mn2AsRh structure, as listed in Alexandria via LeMat-Bulk.

Output
- magnetization (Bohr magnetons per cell) = 5.8
- formation energy (meV per atom) = -95

Cell and atoms, written as extended XYZ:
```
4
Lattice="3.547 0.000 0.000 0.000 1.473 5.435 0.000 -1.473 5.435" Properties=species:S:1:pos:R:3 pbc="T T T"
Mn 0.000 0.000 0.000
Mn 1.773 0.000 3.890
As 0.000 0.000 8.391
Rh 1.773 0.000 6.694
```